# CeUTi2 (PBE, optimized geometry)
data_CeUTi2
_chemical_formula_sum 'Ce1 U1 Ti2'
_cell_length_a 3.332
_cell_length_b 3.332
_cell_length_c 7.727
_cell_angle_alpha 90.00
_cell_angle_beta 90.00
_cell_angle_gamma 90.00
_space_group_name_H-M_alt 'P 4/m m m'
_space_group_IT_number 123
_space_group_name_Hall '-P 4 2'
loop_
_atom_site_label
_atom_site_type_symbol
_atom_site_fract_x
_atom_site_fract_y
_atom_site_fract_z
Ce1 Ce 0.000 0.000 0.000
U1 U 0.000 0.000 0.500
Ti1 Ti 0.500 0.500 0.300
# density of states at the Fermi level	2.757	states/eV/atom
# calculated formation energy	0.31	eV/atom

***

# CeTi2V (PBE, optimized geometry)
data_CeTi2V
_chemical_formula_sum 'Ce1 Ti2 V1'
_cell_length_a 3.115
_cell_length_b 3.115
_cell_length_c 7.774
_cell_angle_alpha 90.00
_cell_angle_beta 90.00
_cell_angle_gamma 90.00
_space_group_name_H-M_alt 'P 4/m m m'
_space_group_IT_number 123
_space_group_name_Hall '-P 4 2'
loop_
_atom_site_label
_atom_site_type_symbol
_atom_site_fract_x
_atom_site_fract_y
_atom_site_fract_z
Ce1 Ce 0.000 0.000 0.000
Ti1 Ti 0.500 0.500 0.308
V1 V 0.000 0.000 0.500
# density of states at the Fermi level	2.115	states/eV/atom
# calculated formation energy	0.14	eV/atom

***

# CeTi2V (PBE, optimized geometry)
data_CeTi2V
_chemical_formula_sum 'Ce3 Ti6 V3'
_cell_length_a 2.8952
_cell_length_b 2.8952
_cell_length_c 29.8739
_cell_angle_alpha 90.00
_cell_angle_beta 90.00
_cell_angle_gamma 120.00
_space_group_name_H-M_alt 'R -3 m'
_space_group_IT_number 166
_space_group_name_Hall '-R 3 2"'
loop_
_atom_site_label
_atom_site_type_symbol
_atom_site_fract_x
_atom_site_fract_y
_atom_site_fract_z
Ce1 Ce 0.0000 0.0000 0.0000
Ti1 Ti 0.0000 0.0000 0.0955
V1 V 0.0000 0.0000 0.5000
# density of states at the Fermi level	1.624	states/eV/atom
# calculated formation energy	0.21	eV/atom

***

Question: Look up the calculated formation energy of the third one.
Answer: 0.21 eV/atom

***

Please write out number 1 again, unchanged.
# CeUTi2 (PBE, optimized geometry)
data_CeUTi2
_chemical_formula_sum 'Ce1 U1 Ti2'
_cell_length_a 3.332
_cell_length_b 3.332
_cell_length_c 7.727
_cell_angle_alpha 90.00
_cell_angle_beta 90.00
_cell_angle_gamma 90.00
_space_group_name_H-M_alt 'P 4/m m m'
_space_group_IT_number 123
_space_group_name_Hall '-P 4 2'
loop_
_atom_site_label
_atom_site_type_symbol
_atom_site_fract_x
_atom_site_fract_y
_atom_site_fract_z
Ce1 Ce 0.000 0.000 0.000
U1 U 0.000 0.000 0.500
Ti1 Ti 0.500 0.500 0.300
# density of states at the Fermi level	2.757	states/eV/atom
# calculated formation energy	0.31	eV/atom

***

Question: Which value of calculated formation energy does entry 1 give?
Answer: 0.31 eV/atom

***

Question: Look up the density of states at the Fermi level of the second one.
Answer: 2.115 states/eV/atom